# 1
## HfBe2Rh2 (GGA-PBE)

Data for a geometry-optimized HfBe2Rh2 structure.

Cell: 6.6969 6.6969 2.8721 Å, 90.00 90.00 90.00°
Fractional positions:
Be  0.1148  0.3852  0.0000
Hf  0.5000  0.5000  0.0000
Be  0.8852  0.6148  0.0000
Rh  0.1742  0.6742  0.5000
Hf  0.0000  0.0000  0.0000
Be  0.6148  0.1148  0.0000
Rh  0.3258  0.1742  0.5000
Rh  0.8258  0.3258  0.5000
Rh  0.6742  0.8258  0.5000
Be  0.3852  0.8852  0.0000

Values from the calculation:
- ΔH_f (0 K) (eV/atom) = -0.659
- excess energy over the best structure of this formula in the dataset (meV/atom) = 0
- symmetry = No. 127
- M_tot (Bohr magnetons per cell) = 0.0
- mass density (g/cm3) = 10.4

=====

# 2
## HfBe5Rh (GGA-PBE)

Data for a geometry-optimized HfBe5Rh structure.

Cell: 4.3795 7.3046 9.2110 Å, 90.00 90.00 90.00°
Fractional positions:
Be  0.7500  0.4174  0.9851
Be  0.2500  0.9598  0.1145
Be  0.7500  0.0402  0.8855
Be  0.7500  0.8055  0.7488
Rh  0.7500  0.6393  0.3650
Rh  0.2500  0.3607  0.6350
Be  0.9951  0.9377  0.3145
Be  0.2500  0.5826  0.0149
Be  0.4951  0.5623  0.8145
Be  0.5049  0.9377  0.3145
Rh  0.2500  0.8607  0.8650
Be  0.0049  0.5623  0.8145
Be  0.2500  0.0826  0.4851
Be  0.5049  0.4377  0.1855
Be  0.2500  0.1945  0.2512
Be  0.4951  0.0623  0.6855
Be  0.9951  0.4377  0.1855
Hf  0.7500  0.7639  0.0661
Be  0.7500  0.9174  0.5149
Rh  0.7500  0.1393  0.1350
Hf  0.2500  0.7361  0.5661
Be  0.0049  0.0623  0.6855
Be  0.7500  0.5402  0.6145
Hf  0.2500  0.2361  0.9339
Be  0.7500  0.3055  0.7512
Be  0.2500  0.4598  0.3855
Hf  0.7500  0.2639  0.4339
Be  0.2500  0.6945  0.2488

Values from the calculation:
- ΔH_f (0 K) (eV/atom) = -0.459
- symmetry = No. 62
- M_tot (Bohr magnetons per cell) = 0.0
- mass density (g/cm3) = 7.4

=====

# 3
## Hf3BeRh (GGA-PBE)

Data for a geometry-optimized Hf3BeRh structure.

Cell: 4.5753 4.5753 4.5753 Å, 90.00 90.00 90.00°
Fractional positions:
Be  0.0000  0.0000  0.0000
Hf  0.0000  0.0000  0.5000
Rh  0.5000  0.5000  0.5000
Hf  0.5000  0.0000  0.0000
Hf  0.0000  0.5000  0.0000

Values from the calculation:
- ΔH_f (0 K) (eV/atom) = 0.318
- excess energy over the best structure of this formula in the dataset (meV/atom) = 0
- symmetry = No. 221
- M_tot (Bohr magnetons per cell) = 0.0
- mass density (g/cm3) = 11.2

=====

# 4
## HfBe9Rh2 (GGA-PBE)

Data for a geometry-optimized HfBe9Rh2 structure.

Cell: 4.4131 4.4131 7.4340 Å, 72.73 72.73 60.00°
Fractional positions:
Be  0.9180  0.4109  0.2603
Hf  0.0000  0.0000  0.0000
Be  0.3324  0.3324  0.0027
Be  0.5891  0.0820  0.7397
Be  0.4109  0.4109  0.2603
Be  0.4109  0.9180  0.2603
Be  0.5000  0.5000  0.5000
Be  0.6676  0.6676  0.9973
Be  0.5891  0.5891  0.7397
Rh  0.8627  0.8627  0.4118
Rh  0.1373  0.1373  0.5882
Be  0.0820  0.5891  0.7397

Values from the calculation:
- ΔH_f (0 K) (eV/atom) = -0.398
- excess energy over the best structure of this formula in the dataset (meV/atom) = 5
- symmetry = No. 166
- M_tot (Bohr magnetons per cell) = 0.0
- mass density (g/cm3) = 6.6

=====

# 5
## HfBeRh3 (GGA-PBE)

Data for a geometry-optimized HfBeRh3 structure.

Cell: 4.7272 4.7272 4.7272 Å, 90.00 90.00 90.00°
Fractional positions:
Rh  0.5000  0.0000  0.0000
Hf  0.0000  0.0000  0.0000
Be  0.5000  0.5000  0.5000
Rh  0.0000  0.0000  0.5000
Rh  0.0000  0.5000  0.0000

Values from the calculation:
- ΔH_f (0 K) (eV/atom) = 1.110
- excess energy over the best structure of this formula in the dataset (meV/atom) = 1713
- symmetry = No. 221
- M_tot (Bohr magnetons per cell) = 0.0
- mass density (g/cm3) = 7.8

=====

# 6
## Hf4BeRh (GGA-PBE)

Data for a geometry-optimized Hf4BeRh structure.

Cell: 6.3468 6.3468 7.1580 Å, 116.32 116.32 90.00°
Fractional positions:
Rh  0.5000  0.5000  0.0000
Hf  0.3069  0.4741  0.2809
Hf  0.9741  0.8069  0.2809
Hf  0.5259  0.0259  0.7191
Hf  0.0259  0.1931  0.7191
Hf  0.6931  0.5259  0.7191
Hf  0.8069  0.3069  0.2809
Hf  0.4741  0.9741  0.2809
Be  0.2500  0.2500  0.5000
Hf  0.1931  0.6931  0.7191
Rh  0.0000  0.0000  0.0000
Be  0.7500  0.7500  0.5000

Values from the calculation:
- ΔH_f (0 K) (eV/atom) = -0.215
- excess energy over the best structure of this formula in the dataset (meV/atom) = 116
- symmetry = No. 140
- M_tot (Bohr magnetons per cell) = 0.0
- mass density (g/cm3) = 12.2

=====

# 7
## Hf2BeRh (GGA-PBE)

Data for a geometry-optimized Hf2BeRh structure.

Cell: 3.2465 3.2465 6.2511 Å, 90.00 90.00 90.00°
Fractional positions:
Hf  0.0000  0.0000  0.2419
Hf  0.0000  0.0000  0.7581
Be  0.5000  0.5000  0.0000
Rh  0.5000  0.5000  0.5000

Values from the calculation:
- ΔH_f (0 K) (eV/atom) = -0.467
- symmetry = No. 123
- M_tot (Bohr magnetons per cell) = 0.0
- mass density (g/cm3) = 11.8

=====

# 8
## Hf2BeRh (GGA-PBE)

Data for a geometry-optimized Hf2BeRh structure.

Cell: 7.1724 7.1724 5.7818 Å, 51.67 51.67 90.00°
Fractional positions:
Rh  0.7500  0.2500  0.5000
Hf  0.8750  0.8858  0.7500
Hf  0.6358  0.1250  0.2500
Hf  0.3750  0.3642  0.7500
Be  0.2500  0.7500  0.5000
Be  0.5000  0.5000  0.0000
Hf  0.1142  0.6250  0.2500
Rh  0.0000  0.0000  0.0000

Values from the calculation:
- ΔH_f (0 K) (eV/atom) = 0.130
- symmetry = No. 122
- M_tot (Bohr magnetons per cell) = 0.0
- mass density (g/cm3) = 10.9

=====

# 9
## Hf3Be8Rh (GGA-PBE)

Data for a geometry-optimized Hf3Be8Rh structure.

Cell: 4.6293 4.6293 8.1527 Å, 73.51 73.51 60.00°
Fractional positions:
Be  0.1877  0.1877  0.4368
Hf  0.3770  0.3770  0.8689
Be  0.6864  0.6864  0.9407
Be  0.4360  0.4360  0.1950
Be  0.9330  0.4360  0.1950
Be  0.9414  0.9414  0.6818
Hf  0.9953  0.9953  0.0142
Hf  0.5035  0.5035  0.4895
Rh  0.8768  0.8768  0.3696
Be  0.4360  0.9330  0.1950
Be  0.4354  0.9414  0.6818
Be  0.9414  0.4354  0.6818

Values from the calculation:
- ΔH_f (0 K) (eV/atom) = -0.269
- symmetry = No. 160
- M_tot (Bohr magnetons per cell) = 0.0
- mass density (g/cm3) = 8.3

=====

# 10
## HfBeRh2 (GGA-PBE)

Data for a geometry-optimized HfBeRh2 structure.

Cell: 3.9918 3.9918 8.5532 Å, 76.51 76.51 90.00°
Fractional positions:
Rh  0.3750  0.4160  0.7500
Hf  0.7500  0.2500  0.5000
Rh  0.8750  0.8340  0.7500
Rh  0.1660  0.6250  0.2500
Be  0.5000  0.5000  0.0000
Be  0.2500  0.7500  0.5000
Hf  0.0000  0.0000  0.0000
Rh  0.5840  0.1250  0.2500

Values from the calculation:
- ΔH_f (0 K) (eV/atom) = -0.153
- symmetry = No. 122
- M_tot (Bohr magnetons per cell) = 0.0
- mass density (g/cm3) = 10.2

=====

# 11
## Hf2BeRh (GGA-PBE)

Data for a geometry-optimized Hf2BeRh structure.

Cell: 2.9314 2.9314 10.0669 Å, 81.63 81.63 60.00°
Fractional positions:
Hf  0.9094  0.9094  0.2718
Be  0.0000  0.0000  0.0000
Hf  0.0906  0.0906  0.7282
Rh  0.5000  0.5000  0.5000

Values from the calculation:
- ΔH_f (0 K) (eV/atom) = 0.415
- symmetry = No. 166
- M_tot (Bohr magnetons per cell) = 0.0
- mass density (g/cm3) = 10.5

=====

# 12
## HfBe2Rh2 (GGA-PBE)

Data for a geometry-optimized HfBe2Rh2 structure.

Cell: 3.7724 3.7724 5.5107 Å, 69.98 69.98 90.00°
Fractional positions:
Hf  0.0000  0.0000  0.0000
Be  0.7500  0.2500  0.5000
Rh  0.3657  0.3657  0.2686
Be  0.2500  0.7500  0.5000
Rh  0.6343  0.6343  0.7314

Values from the calculation:
- ΔH_f (0 K) (eV/atom) = -0.477
- excess energy over the best structure of this formula in the dataset (meV/atom) = 181
- symmetry = No. 139
- M_tot (Bohr magnetons per cell) = 0.0
- mass density (g/cm3) = 9.7